A plane-wave DFT calculation with meta-GGA SCAN was carried out for a PBEsol-optimized structure of Li3Mn4CoO8.

Values from the calculation:
Its crystal system is monoclinic. As for the total magnetization: 39.52 Bohr magnetons per cell. For the calculated volume, the calculation gives 281.1 Å³/cell. As for the uncorrected formation energy: -197.2 kJ per mole of atoms.

a = 10.013 Å, b = 5.858 Å, c = 5.878 Å
α = 90.00°, β = 125.37°, γ = 90.00°
Space group C2/m (No. 12)
Asymmetric unit:
1 Li 0.000 0.000 0.000 [2 per cell]
2 Li 0.250 0.250 0.000 [4 per cell]
3 Mn 0.000 0.000 0.500 [2 per cell]
4 Mn 0.000 0.500 0.000 [2 per cell]
5 Mn 0.250 0.250 0.500 [4 per cell]
6 Co 0.000 0.500 0.500 [2 per cell]
7 O 0.009 0.248 0.255 [8 per cell]
8 O 0.249 0.500 0.232 [4 per cell]
9 O 0.250 0.000 0.286 [4 per cell]

=====

A plane-wave DFT calculation with meta-GGA SCAN was carried out for a PBEsol-optimized structure of Sb2TeAu.

Values from the calculation:
Its crystal system is orthorhombic. As for the total magnetization: 0.00 Bohr magnetons per cell. For the calculated volume, the calculation gives 105.4 Å³/cell. As for the uncorrected formation energy: -8.3 kJ per mole of atoms.

a = 3.022 Å, b = 4.101 Å, c = 8.507 Å
α = 90.00°, β = 90.00°, γ = 90.00°
Space group Pmmm (No. 47)
Asymmetric unit:
1 Sb 0.000 0.000 0.214 [2 per cell]
2 Te 0.000 0.500 0.500 [1 per cell]
3 Au 0.000 0.500 0.000 [1 per cell]

=====

A plane-wave DFT calculation with meta-GGA SCAN was carried out for a PBEsol-optimized structure of Zr2MoCl.

Values from the calculation:
Its crystal system is cubic. As for the total magnetization: 0.00 Bohr magnetons per cell. For the calculated volume, the calculation gives 288.6 Å³/cell. As for the uncorrected formation energy: 63.0 kJ per mole of atoms.

a = 6.609 Å, b = 6.609 Å, c = 6.609 Å
α = 90.00°, β = 90.00°, γ = 90.00°
Space group F-43m (No. 216)
Asymmetric unit:
1 Zr 0.000 0.000 0.000 [4 per cell]
2 Zr 0.250 0.250 0.250 [4 per cell]
3 Mo 0.000 0.000 0.500 [4 per cell]
4 Cl 0.250 0.250 0.750 [4 per cell]

=====

A plane-wave DFT calculation with meta-GGA SCAN was carried out for a PBEsol-optimized structure of MgCo2As.

Values from the calculation:
Its crystal system is tetragonal. As for the total magnetization: 5.66 Bohr magnetons per cell. For the calculated volume, the calculation gives 99.3 Å³/cell. The value obtained for the calculated formation energy is 0.15 eV/f.u.

a = 3.553 Å, b = 3.553 Å, c = 7.865 Å
α = 90.00°, β = 90.00°, γ = 90.00°
Space group I-4m2 (No. 119)
Asymmetric unit:
1 Mg 0.000 0.000 0.000 [2 per cell]
2 Co 0.000 0.000 0.500 [2 per cell]
3 Co 0.000 0.500 0.750 [2 per cell]
4 As 0.000 0.500 0.250 [2 per cell]

=====

A plane-wave DFT calculation with meta-GGA SCAN was carried out for a PBEsol-optimized structure of LaCdAg4.

Values from the calculation:
Its crystal system is cubic. As for the total magnetization: 0.00 Bohr magnetons per cell. For the calculated volume, the calculation gives 481.9 Å³/cell. The value obtained for the calculated formation energy is -1.53 eV/f.u.

a = 7.840 Å, b = 7.840 Å, c = 7.840 Å
α = 90.00°, β = 90.00°, γ = 90.00°
Space group F-43m (No. 216)
Asymmetric unit:
1 La 0.000 0.000 0.000 [4 per cell]
2 Cd 0.250 0.250 0.750 [4 per cell]
3 Ag 0.124 0.124 0.376 [16 per cell]

=====

A plane-wave DFT calculation with meta-GGA SCAN was carried out for a PBEsol-optimized structure of CaTlSe2.

Values from the calculation:
Its crystal system is orthorhombic. As for the total magnetization: 0.00 Bohr magnetons per cell. For the calculated volume, the calculation gives 207.7 Å³/cell. As for the uncorrected formation energy: -104.0 kJ per mole of atoms.

a = 3.890 Å, b = 3.892 Å, c = 13.721 Å
α = 90.00°, β = 90.00°, γ = 90.00°
Space group Imm2 (No. 44)
Asymmetric unit:
1 Ca 0.000 0.000 0.000 [2 per cell]
2 Tl 0.000 0.500 0.247 [2 per cell]
3 Se 0.000 0.000 0.572 [2 per cell]
4 Se 0.000 0.500 0.834 [2 per cell]

=====

A plane-wave DFT calculation with meta-GGA SCAN was carried out for a PBEsol-optimized structure of In2HgIO.

Values from the calculation:
Its crystal system is tetragonal. As for the total magnetization: 0.00 Bohr magnetons per cell. For the calculated volume, the calculation gives 150.2 Å³/cell. As for the uncorrected formation energy: 20.4 kJ per mole of atoms.

a = 6.096 Å, b = 6.096 Å, c = 4.042 Å
α = 90.00°, β = 90.00°, γ = 90.00°
Space group P4/mmm (No. 123)
Asymmetric unit:
1 In 0.000 0.500 0.000 [2 per cell]
2 Hg 0.000 0.000 0.500 [1 per cell]
3 I 0.500 0.500 0.000 [1 per cell]
4 O 0.500 0.500 0.500 [1 per cell]

=====

A plane-wave DFT calculation with meta-GGA SCAN was carried out for a PBEsol-optimized structure of Ca2CdPt.

Values from the calculation:
Its crystal system is cubic. As for the total magnetization: 0.00 Bohr magnetons per cell. For the calculated volume, the calculation gives 342.6 Å³/cell. The value obtained for the calculated formation energy is -2.01 eV/f.u.

a = 6.997 Å, b = 6.997 Å, c = 6.997 Å
α = 90.00°, β = 90.00°, γ = 90.00°
Space group F-43m (No. 216)
Asymmetric unit:
1 Ca 0.000 0.000 0.000 [4 per cell]
2 Ca 0.250 0.250 0.250 [4 per cell]
3 Cd 0.250 0.250 0.750 [4 per cell]
4 Pt 0.000 0.000 0.500 [4 per cell]

=====

A plane-wave DFT calculation with meta-GGA SCAN was carried out for a PBEsol-optimized structure of LiBe2Ni.

Values from the calculation:
Its crystal system is trigonal. As for the total magnetization: 0.00 Bohr magnetons per cell. For the calculated volume, the calculation gives 120.2 Å³/cell. The value obtained for the calculated formation energy is 0.00 eV/f.u.

a = 2.4299 Å, b = 2.4299 Å, c = 23.5060 Å
α = 90.00°, β = 90.00°, γ = 120.00°
Space group R-3m (No. 166, hexagonal axes)
Asymmetric unit:
1 Li 0.0000 0.0000 0.0000 [3 per cell]
2 Be 0.0000 0.0000 0.2415 [6 per cell]
3 Ni 0.0000 0.0000 0.5000 [3 per cell]

=====

A plane-wave DFT calculation with meta-GGA SCAN was carried out for a PBEsol-optimized structure of LiTa2In.

Values from the calculation:
Its crystal system is cubic. As for the total magnetization: 0.25 Bohr magnetons per cell. For the calculated volume, the calculation gives 285.0 Å³/cell. The value obtained for the calculated formation energy is 1.53 eV/f.u.

a = 6.581 Å, b = 6.581 Å, c = 6.581 Å
α = 90.00°, β = 90.00°, γ = 90.00°
Space group F-43m (No. 216)
Asymmetric unit:
1 Li 0.000 0.000 0.000 [4 per cell]
2 Ta 0.000 0.000 0.500 [4 per cell]
3 Ta 0.250 0.250 0.250 [4 per cell]
4 In 0.250 0.250 0.750 [4 per cell]

=====

A plane-wave DFT calculation with meta-GGA SCAN was carried out for a PBEsol-optimized structure of YMgH3.

Values from the calculation:
Its crystal system is cubic. As for the total magnetization: 0.00 Bohr magnetons per cell. Its raw total energy is -8.73 eV/atom. For the calculated volume, the calculation gives 54.6 Å³/cell.

a = 3.795 Å, b = 3.795 Å, c = 3.795 Å
α = 90.00°, β = 90.00°, γ = 90.00°
Space group Pm-3m (No. 221)
Asymmetric unit:
1 Y 0.000 0.000 0.000 [1 per cell]
2 Mg 0.500 0.500 0.500 [1 per cell]
3 H 0.000 0.500 0.500 [3 per cell]

=====

A plane-wave DFT calculation with meta-GGA SCAN was carried out for a PBEsol-optimized structure of ZrTlP2.

Values from the calculation:
Its crystal system is monoclinic. As for the total magnetization: 0.00 Bohr magnetons per cell. For the calculated volume, the calculation gives 163.7 Å³/cell. The value obtained for the calculated formation energy is -1.31 eV/f.u.

a = 9.167 Å, b = 3.211 Å, c = 5.621 Å
α = 90.00°, β = 98.33°, γ = 90.00°
Space group C2/m (No. 12)
Asymmetric unit:
1 Zr 0.000 0.000 0.000 [2 per cell]
2 Tl 0.000 0.500 0.500 [2 per cell]
3 P 0.232 0.500 0.140 [4 per cell]